Entry 1:
VASP calculation (PBE-GGA) on an optimized crystal structure of Dy2MnCu12Ni3.

abc: 6.3648 6.3648 6.3648
angles: 83.35 83.35 83.35
Last column: magnetic moment on the atom in μB.
Element x y z (fractional)
Mn 0.0000 0.0000 0.0000  3.69
Dy 0.7458 0.7458 0.7458  -0.03
Cu 0.2827 0.7996 0.7996  0.05
Ni 0.5000 0.0000 0.0000  0.08
Cu 0.2004 0.7173 0.2004  0.05
Cu 0.5773 0.5773 0.1474  0.00
Cu 0.8526 0.4227 0.4227  0.00
Ni 0.0000 0.0000 0.5000  0.08
Cu 0.2004 0.2004 0.7173  0.05
Cu 0.5773 0.1474 0.5773  0.00
Cu 0.1474 0.5773 0.5773  0.00
Dy 0.2542 0.2542 0.2542  -0.03
Cu 0.7996 0.2827 0.7996  0.05
Cu 0.4227 0.8526 0.4227  0.00
Cu 0.4227 0.4227 0.8526  0.00
Ni 0.0000 0.5000 0.0000  0.08
Cu 0.7996 0.7996 0.2827  0.05
Cu 0.7173 0.2004 0.2004  0.05

## Properties
- formation energy from the elements (eV per atom) = 0.062
- space group = R-3m (166)

---

Entry 2:
VASP calculation (PBE-GGA) on an optimized crystal structure of Dy2MnCu3Ni12.

abc: 9.1966 9.1966 9.1966
angles: 37.51 37.51 37.51
Last column: magnetic moment on the atom in μB.
Element x y z (fractional)
Cu 0.0000 0.5000 0.0000  0.03
Ni 0.4213 0.4213 0.8124  0.18
Ni 0.1876 0.5787 0.5787  0.18
Ni 0.4213 0.8124 0.4213  0.18
Dy 0.6511 0.6511 0.6511  -0.12
Ni 0.6443 0.0740 0.0740  0.27
Ni 0.9260 0.3557 0.9260  0.27
Ni 0.9260 0.9260 0.3557  0.27
Mn 0.0000 0.0000 0.0000  2.72
Cu 0.0000 0.0000 0.5000  0.03
Ni 0.0740 0.6443 0.0740  0.27
Ni 0.0740 0.0740 0.6443  0.27
Ni 0.5787 0.5787 0.1876  0.18
Ni 0.8124 0.4213 0.4213  0.18
Cu 0.5000 0.0000 0.0000  0.03
Dy 0.3489 0.3489 0.3489  -0.12
Ni 0.3557 0.9260 0.9260  0.27
Ni 0.5787 0.1876 0.5787  0.18

## Properties
- formation energy from the elements (eV per atom) = 0.224
- space group = R-3m (166)